NaMg2AgCl6: relaxed, PBE.

Geometry as POSCAR:
```
NaMg2AgCl6
1.0
6.896 -0.305 -0.316
1.822 8.725 0.313
1.822 -0.010 8.730
Na Mg Ag Cl
2 4 2 12
direct
0.250 0.263 0.737
0.750 0.737 0.263
0.207 0.789 0.612
0.293 0.388 0.211
0.793 0.211 0.388
0.707 0.612 0.789
0.250 0.898 0.102
0.750 0.102 0.898
0.128 0.969 0.800
0.372 0.200 0.031
0.872 0.031 0.200
0.628 0.800 0.969
0.376 0.873 0.383
0.124 0.617 0.127
0.624 0.127 0.617
0.876 0.383 0.873
0.907 0.706 0.567
0.593 0.433 0.294
0.093 0.294 0.433
0.407 0.567 0.706
```

Results
- VASP energy (eV per atom) = -3.3602
- total magnetic moment (μB/atom) = 0.000
- E_form (uncorrected) (eV/atom) = -1.516
- space-group type = No. 15
- mass density (g cm⁻³) = 2.435